Record 1
The following is a meta-GGA SCAN calculation of KCdSi3 at its PBEsol-relaxed geometry, from the Alexandria database.

POSCAR file:
```
KCdSi3
1.0
5.282 0.000 0.000
0.000 5.282 0.000
0.000 0.000 5.282
K Cd Si
1 1 3
Direct
0.000 0.000 0.000 K
0.500 0.500 0.500 Cd
0.000 0.000 0.500 Si
0.000 0.500 0.000 Si
0.500 0.000 0.000 Si
```

Size of the total moment ... 0.0 μB per formula unit
SG ... Pm-3m, No. 221
Uncorrected energy ... -57.65 eV per cell

Record 2
The following is a meta-GGA SCAN calculation of K2CdSi at its PBEsol-relaxed geometry, from the Alexandria database.

POSCAR file:
```
K2CdSi
1.0
1.714 0.990 11.458
-1.714 0.990 11.458
0.000 -1.979 11.458
K Cd Si
2 1 1
Direct
0.244 0.244 0.244 K
0.756 0.756 0.756 K
0.000 0.000 0.000 Cd
0.500 0.500 0.500 Si
```

Size of the total moment ... 0.3 μB per formula unit
SG ... R-3m, No. 166
Uncorrected energy ... -55.20 eV per cell

Record 3
The following is a meta-GGA SCAN calculation of K2CdSi at its PBEsol-relaxed geometry, from the Alexandria database.

POSCAR file:
```
K2CdSi
1.0
3.210 0.000 0.000
0.000 3.210 0.000
0.000 0.000 10.962
K Cd Si
2 1 1
Direct
0.000 0.000 0.229 K
0.000 0.000 0.771 K
0.500 0.500 0.500 Cd
0.500 0.500 0.000 Si
```

Size of the total moment ... 0.0 μB per formula unit
SG ... P4/mmm, No. 123
Uncorrected energy ... -55.69 eV per cell

Record 4
The following is a meta-GGA SCAN calculation of K2CdSi at its PBEsol-relaxed geometry, from the Alexandria database.

POSCAR file:
```
K2CdSi
1.0
-2.299 2.982 4.777
2.299 -2.982 4.777
2.299 2.982 -4.777
K Cd Si
2 1 1
Direct
0.000 0.000 0.000 K
0.686 0.186 0.500 K
0.298 0.798 0.500 Cd
0.397 0.397 0.000 Si
```

Size of the total moment ... 0.0 μB per formula unit
SG ... Imm2, No. 44
Uncorrected energy ... -57.09 eV per cell

Record 5
The following is a meta-GGA SCAN calculation of K2CdSi at its PBEsol-relaxed geometry, from the Alexandria database.

POSCAR file:
```
K2CdSi
1.0
3.807 0.000 0.000
0.000 3.807 0.000
0.000 0.000 9.898
K Cd Si
2 1 1
Direct
0.000 0.000 0.000 K
0.500 0.500 0.403 K
0.500 0.500 0.731 Cd
0.000 0.000 0.664 Si
```

Size of the total moment ... 0.1 μB per formula unit
SG ... P4mm, No. 99
Uncorrected energy ... -56.07 eV per cell

Record 6
The following is a meta-GGA SCAN calculation of K2Cd2Sn at its PBEsol-relaxed geometry, from the Alexandria database.

POSCAR file:
```
K2Cd2Sn
1.0
-2.345 2.345 7.477
2.345 -2.345 7.477
2.345 2.345 -7.477
K Cd Sn
2 2 1
Direct
0.250 0.750 0.500 K
0.750 0.250 0.500 K
0.090 0.090 0.000 Cd
0.910 0.910 0.000 Cd
0.500 0.500 0.000 Sn
```

Size of the total moment ... 0.0 μB per formula unit
Formation energy ... 0.254 eV per atom
SG ... I4/mmm, No. 139

Record 7
The following is a meta-GGA SCAN calculation of KSr2Cd at its PBEsol-relaxed geometry, from the Alexandria database.

POSCAR file:
```
KSr2Cd
1.0
4.038 0.000 0.000
0.000 4.038 0.000
0.000 0.000 10.860
K Sr Cd
1 2 1
Direct
0.000 0.000 0.000 K
0.500 0.500 0.324 Sr
0.500 0.500 0.676 Sr
0.000 0.000 0.500 Cd
```

Size of the total moment ... 0.0 μB per formula unit
Formation energy ... -0.169 eV per atom
SG ... P4/mmm, No. 123

Record 8
The following is a meta-GGA SCAN calculation of KSrCd at its PBEsol-relaxed geometry, from the Alexandria database.

POSCAR file:
```
KSrCd
1.0
0.000 4.026 4.026
4.026 0.000 4.026
4.026 4.026 0.000
K Sr Cd
1 1 1
Direct
0.000 0.000 0.000 K
0.750 0.750 0.750 Sr
0.250 0.250 0.250 Cd
```

Size of the total moment ... 0.0 μB per formula unit
Formation energy ... 0.329 eV per atom
SG ... F-43m, No. 216

Record 9
The following is a meta-GGA SCAN calculation of KSrCd4 at its PBEsol-relaxed geometry, from the Alexandria database.

POSCAR file:
```
KSrCd4
1.0
0.000 4.330 4.330
4.330 0.000 4.330
4.330 4.330 0.000
K Sr Cd
1 1 4
Direct
0.000 0.000 0.000 K
0.250 0.250 0.250 Sr
0.124 0.625 0.625 Cd
0.625 0.124 0.625 Cd
0.625 0.625 0.124 Cd
0.625 0.625 0.625 Cd
```

Size of the total moment ... 0.0 μB per formula unit
Formation energy ... -0.220 eV per atom
SG ... F-43m, No. 216

Record 10
The following is a meta-GGA SCAN calculation of KSrCd2 at its PBEsol-relaxed geometry, from the Alexandria database.

POSCAR file:
```
KSrCd2
1.0
0.000 4.030 4.030
4.030 0.000 4.030
4.030 4.030 0.000
K Sr Cd
1 1 2
Direct
0.000 0.000 0.000 K
0.500 0.500 0.500 Sr
0.250 0.250 0.250 Cd
0.750 0.750 0.750 Cd
```

Size of the total moment ... 0.0 μB per formula unit
Formation energy ... -0.125 eV per atom
SG ... Fm-3m, No. 225
Relative energy among the computed polymorphs ... 0.027 eV/atom

Record 11
The following is a meta-GGA SCAN calculation of KSrCd2 at its PBEsol-relaxed geometry, from the Alexandria database.

POSCAR file:
```
KSrCd2
1.0
4.089 -4.101 0.000
4.089 4.101 0.000
0.000 0.000 3.914
K Sr Cd
1 1 2
Direct
0.000 0.000 0.000 K
0.500 0.500 0.000 Sr
0.000 0.500 0.500 Cd
0.500 0.000 0.500 Cd
```

Size of the total moment ... 0.0 μB per formula unit
Formation energy ... -0.153 eV per atom
SG ... Cmmm, No. 65
Relative energy among the computed polymorphs ... 0.000 eV/atom

Record 12
The following is a meta-GGA SCAN calculation of KSr2Cd at its PBEsol-relaxed geometry, from the Alexandria database.

POSCAR file:
```
KSr2Cd
1.0
4.136 0.000 0.000
0.000 4.136 0.000
0.000 0.000 10.462
K Sr Cd
1 2 1
Direct
0.000 0.000 0.000 K
0.000 0.000 0.618 Sr
0.500 0.500 0.333 Sr
0.500 0.500 0.778 Cd
```

Size of the total moment ... 0.3 μB per formula unit
Formation energy ... -0.067 eV per atom
SG ... P4mm, No. 99